Entry 1:
First-principles (PBE) data for PmSm2Br after structural relaxation, as listed in the Alexandria database.

Unit cell a=10.6524 b=10.6524 c=10.6524 alpha=20.09 beta=20.09 gamma=20.09
Last column: nearest neighbours and their distance in Å.
Element x y z (fractional)
Pm 0.0000 0.0000 0.0000  6 Sm 3.58, 6 Pm 3.72
Sm 0.2418 0.2418 0.2418  3 Br 3.18
Sm 0.7582 0.7582 0.7582  3 Br 3.18
Br 0.5000 0.5000 0.5000  6 Sm 3.18

Final energy in eV/cell: -18.08
ΔE_f (raw) in meV per atom: -554



Entry 2:
First-principles (PBE) data for CaHfBr2 after structural relaxation, as listed in the Alexandria database.

Unit cell a=9.7695 b=9.7695 c=9.7695 alpha=21.27 beta=21.27 gamma=21.27
Last column: nearest neighbours and their distance in Å.
Element x y z (fractional)
Ca 0.0000 0.0000 0.0000  6 Br 2.91
Hf 0.5000 0.5000 0.5000  2 Br 2.74
Br 0.4043 0.4043 0.4043  1 Hf 2.74, 3 Ca 2.91
Br 0.5957 0.5957 0.5957  1 Hf 2.74, 3 Ca 2.91

Final energy in eV/cell: -17.76
ΔE_f (raw) in meV per atom: -614



Entry 3:
First-principles (PBE) data for Sr2ZrGaCl after structural relaxation, as listed in the Alexandria database.

Unit cell a=5.5732 b=5.5732 c=4.8966 alpha=90.00 beta=90.00 gamma=90.00
Last column: nearest neighbours and their distance in Å.
Element x y z (fractional)
Sr 0.0000 0.5000 0.0000  2 Cl 2.79
Sr 0.5000 0.0000 0.0000  2 Cl 2.79
Zr 0.0000 0.0000 0.5000  2 Cl 2.45
Ga 0.5000 0.5000 0.5000  8 Sr 3.71, 4 Zr 3.94
Cl 0.0000 0.0000 0.0000  2 Zr 2.45

Final energy in eV/cell: -17.90
ΔE_f (raw) in meV per atom: -223



Entry 4:
First-principles (PBE) data for PmHo2ScP4 after structural relaxation, as listed in the Alexandria database.

Unit cell a=6.8732 b=3.9774 c=6.8817 alpha=90.00 beta=109.46 gamma=90.00
Last column: nearest neighbours and their distance in Å.
Element x y z (fractional)
Pm 0.0000 0.0000 0.0000  6 P 2.84
Ho 0.0000 0.5000 0.5000  6 P 2.86
Ho 0.5000 0.0000 0.5000  6 P 2.78
Sc 0.5000 0.5000 0.0000  6 P 2.76
P 0.2604 0.5000 0.2516  1 Sc 2.76, 3 Ho 2.78-2.86, 2 Pm 2.84
P 0.2617 0.0000 0.7557  2 Sc 2.76, 3 Ho 2.78-2.86, 1 Pm 2.84
P 0.7383 0.0000 0.2443  2 Sc 2.76, 3 Ho 2.78-2.86, 1 Pm 2.84
P 0.7396 0.5000 0.7484  1 Sc 2.76, 3 Ho 2.78-2.86, 2 Pm 2.84

Final energy in eV/cell: -54.15



Entry 5:
First-principles (PBE) data for La8Hg2Ru after structural relaxation, as listed in the Alexandria database.

Unit cell a=9.8458 b=9.8458 c=7.0047 alpha=109.31 beta=109.31 gamma=32.79
Last column: nearest neighbours and their distance in Å.
Element x y z (fractional)
La 0.0154 0.0154 0.2278  1 La 3.04, 2 Ru 3.17, 1 Hg 3.18
La 0.2059 0.2059 0.1016  1 Hg 3.21, 2 La 3.46
La 0.3429 0.3429 0.6772  1 Ru 3.05, 1 Hg 3.23
La 0.4128 0.4128 0.2544  1 Ru 2.81
La 0.5872 0.5872 0.7456  1 Ru 2.81
La 0.6571 0.6571 0.3228  1 Ru 3.05, 1 Hg 3.23
La 0.7941 0.7941 0.8984  1 Hg 3.21, 2 La 3.46
La 0.9846 0.9846 0.7722  1 La 3.04, 2 Ru 3.17, 1 Hg 3.18
Hg 0.1655 0.1655 0.6167  7 La 3.18-3.43
Hg 0.8345 0.8345 0.3833  7 La 3.18-3.43
Ru 0.5000 0.5000 0.0000  4 La 2.81-3.05

Final energy in eV/cell: -51.91



Entry 6:
First-principles (PBE) data for Na4AcCd after structural relaxation, as listed in the Alexandria database.

Unit cell a=6.4939 b=6.4939 c=6.4939 alpha=60.00 beta=60.00 gamma=60.00
Last column: nearest neighbours and their distance in Å.
Element x y z (fractional)
Na 0.3761 0.3761 0.3761  6 Na 3.22-3.28
Na 0.3761 0.3761 0.8717  6 Na 3.22-3.28
Na 0.3761 0.8717 0.3761  6 Na 3.22-3.28
Na 0.8717 0.3761 0.3761  6 Na 3.22-3.28
Ac 0.0000 0.0000 0.0000  12 Na 3.81, 4 Cd 3.98
Cd 0.7500 0.7500 0.7500  12 Na 3.80, 4 Ac 3.98

Final energy in eV/cell: -9.48



Entry 7:
First-principles (PBE) data for CoRe3Os after structural relaxation, as listed in the Alexandria database.

Unit cell a=4.3327 b=4.3327 c=4.3327 alpha=90.00 beta=90.00 gamma=90.00
Last column: nearest neighbours and their distance in Å.
Element x y z (fractional)
Co 0.0000 0.0000 0.0000  6 Re 2.17
Re 0.0000 0.0000 0.5000  2 Co 2.17
Re 0.0000 0.5000 0.0000  2 Co 2.17
Re 0.5000 0.0000 0.0000  2 Co 2.17
Os 0.5000 0.5000 0.5000  12 Re 3.06

Final energy in eV/cell: -47.07



Entry 8:
First-principles (PBE) data for Tm2Pa2Ru3 after structural relaxation, as listed in the Alexandria database.

Unit cell a=7.7556 b=7.7556 c=7.7556 alpha=148.35 beta=140.59 gamma=51.40
Last column: nearest neighbours and their distance in Å.
Element x y z (fractional)
Tm 0.1195 0.1195 0.0000  6 Ru 2.86-3.13
Tm 0.8805 0.8805 0.0000  6 Ru 2.86-3.13
Pa 0.3762 0.3762 0.0000  4 Ru 2.69-2.73
Pa 0.6238 0.6238 0.0000  4 Ru 2.69-2.73
Ru 0.2569 0.7569 0.5000  2 Pa 2.69, 2 Tm 2.86
Ru 0.5000 0.0000 0.5000  4 Pa 2.73
Ru 0.7431 0.2431 0.5000  2 Pa 2.69, 2 Tm 2.86

Final energy in eV/cell: -58.72